Entry 1:
The following is a DFT calculation (PBEsol) of a geometry-optimized LiHfRuCl2 structure.

a b c (Å): 4.9376 4.9376 4.9072
angles (deg): 90.00 90.00 90.00
Space group P4/mmm (No. 123)
Unique sites:
Li1 0.0000 0.0000 0.0000 (multiplicity 1)
Hf1 0.5000 0.5000 0.5000 (multiplicity 1)
Ru1 0.5000 0.5000 0.0000 (multiplicity 1)
Cl1 0.0000 0.5000 0.5000 (multiplicity 2)

Computed properties:
- ΔE_f (raw) (meV per atom) = -53

---

Entry 2:
The following is a DFT calculation (PBEsol) of a geometry-optimized LiY2HfCl structure.

a b c (Å): 5.5532 5.5532 4.8176
angles (deg): 90.00 90.00 90.00
Space group P4/mmm (No. 123)
Unique sites:
Li1 0.0000 0.0000 0.0000 (multiplicity 1)
Y1 0.0000 0.5000 0.5000 (multiplicity 2)
Hf1 0.0000 0.0000 0.5000 (multiplicity 1)
Cl1 0.5000 0.5000 0.0000 (multiplicity 1)

Computed properties:
- ΔE_f (raw) (meV per atom) = 747

---

Entry 3:
The following is a DFT calculation (PBEsol) of a geometry-optimized HfMg2Cl structure.

a b c (Å): 7.1785 7.1785 7.1785
angles (deg): 90.00 90.00 90.00
Space group Fm-3m (No. 225)
Unique sites:
Hf1 0.0000 0.0000 0.0000 (multiplicity 4)
Mg1 0.2500 0.2500 0.2500 (multiplicity 8)
Cl1 0.0000 0.0000 0.5000 (multiplicity 4)

Computed properties:
- ΔE_f (raw) (meV per atom) = 497

---

no.,DFT total energy (eV/atom)
1,-5.384
2,-4.878
3,-3.489